The following is a DFT calculation (GGA-PBE) of CsCa2LaCl8 after structural relaxation.

Unit cell a=6.651 b=6.832 c=8.973 alpha=89.97 beta=89.95 gamma=89.16
Element x y z (fractional)
Cs (0.000, 0.000, 0.000)
Ca (0.500, 0.500, 0.245)
Ca (0.500, 0.500, 0.755)
La (0.000, 0.000, 0.500)
Cl (0.250, 0.820, 0.708)
Cl (0.251, 0.820, 0.292)
Cl (0.273, 0.327, 0.500)
Cl (0.283, 0.389, 0.000)
Cl (0.717, 0.611, 0.000)
Cl (0.727, 0.673, 0.500)
Cl (0.749, 0.180, 0.708)
Cl (0.750, 0.180, 0.292)

## Properties
Energy = -4.325 eV per atom
Volume = 407.7 Å³/f.u.
M_tot = 0.000 μB/atom
Raw formation energy = -2.278 eV/atom